Cs2InPb | GGA-PBE | relaxed Values from VASP.

## Properties
- energy of formation (eV per atom) = -0.07
- ρ (g/cm³) = 4.35

```
&SYSTEM
  ibrav = 0, nat = 4, ntyp = 3
/
ATOMIC_SPECIES
Cs 132.91 Cs.upf
In 114.82 In.upf
Pb 207.20 Pb.upf
CELL_PARAMETERS angstrom
-3.6817 3.4308 -0.5699
-5.3182 -1.0245 5.1899
-0.3908 4.4137 6.0544
ATOMIC_POSITIONS angstrom
Cs -4.7474 -0.5494 4.4371
Cs -4.4083 3.8790 6.2404
In -2.0387 2.0479 2.7232
Pb -8.2100 3.8277 7.8010
```

***

LaCeGdSc | GGA-PBE | relaxed Values from VASP.

## Properties
- energy of formation (eV per atom) = 0.18
- ρ (g/cm³) = 6.36

```
&SYSTEM
  ibrav = 0, nat = 4, ntyp = 4
/
ATOMIC_SPECIES
Sc 44.96 Sc.upf
Gd 157.25 Gd.upf
Ce 140.12 Ce.upf
La 138.91 La.upf
CELL_PARAMETERS angstrom
5.6219 0.0000 0.0000
2.8109 4.8687 0.0000
2.8109 1.6229 4.5902
ATOMIC_POSITIONS angstrom
Sc 0.0000 0.0000 0.0000
Gd 8.4328 4.8687 3.4427
Ce 5.6219 3.2458 2.2951
La 2.8109 1.6229 1.1476
```

***

FeNi2Se | GGA-PBE | relaxed Values from VASP.

## Properties
- ρ (g/cm³) = 8.30
- raw formation energy (eV per atom) = 0.130

```
&SYSTEM
  ibrav = 0, nat = 4, ntyp = 3
/
ATOMIC_SPECIES
Fe 55.84 Fe.upf
Ni 58.69 Ni.upf
Se 78.96 Se.upf
CELL_PARAMETERS angstrom
-1.8032 3.1772 -0.6147
-1.1665 0.0154 3.5013
3.0054 1.8978 0.9930
ATOMIC_POSITIONS angstrom
Fe 0.6011 2.5375 0.1891
Ni 0.0000 0.0000 0.0000
Ni 0.9194 0.9566 2.2471
Se -1.4849 1.5963 1.4433
```

***

Er3Si2Ir2 | GGA-PBE | relaxed Values from VASP.

## Properties
- ρ (g/cm³) = 11.10
- raw formation energy (eV per atom) = -0.990

```
&SYSTEM
  ibrav = 0, nat = 28, ntyp = 3
/
ATOMIC_SPECIES
Er 167.26 Er.upf
Si 28.09 Si.upf
Ir 192.22 Ir.upf
CELL_PARAMETERS angstrom
5.6034 0.0000 0.0000
0.0000 7.7262 0.0000
0.0000 0.0000 13.0208
ATOMIC_POSITIONS angstrom
Er 0.7723 4.6958 1.3563
Er 4.8311 3.0304 7.8667
Er 4.8311 0.8327 5.1541
Er 0.7723 6.8935 11.6645
Er 4.8311 3.0304 11.6645
Er 0.7723 4.6958 5.1541
Er 0.7723 6.8935 7.8667
Er 4.8311 0.8327 1.3563
Er 2.1222 1.9282 3.2552
Er 3.4812 5.7979 9.7656
Er 3.4812 5.7913 3.2552
Er 2.1222 1.9348 9.7656
Si 2.2651 1.9315 0.0000
Si 3.3383 5.7946 6.5104
Si 3.3383 5.7946 0.0000
Si 2.2651 1.9315 6.5104
Si 4.8390 3.0641 3.2552
Si 0.7644 4.6620 9.7656
Si 0.7644 6.9272 3.2552
Si 4.8390 0.7990 9.7656
Ir 3.6387 3.6692 1.1733
Ir 1.9647 4.0570 7.6837
Ir 1.9647 7.5323 5.3371
Ir 3.6387 0.1939 11.8475
Ir 1.9647 4.0570 11.8475
Ir 3.6387 3.6692 5.3371
Ir 3.6387 0.1939 7.6837
Ir 1.9647 7.5323 1.1733
```

***

Copy entry 2 word for word.
LaCeGdSc | GGA-PBE | relaxed Values from VASP.

## Properties
- energy of formation (eV per atom) = 0.18
- ρ (g/cm³) = 6.36

```
&SYSTEM
  ibrav = 0, nat = 4, ntyp = 4
/
ATOMIC_SPECIES
Sc 44.96 Sc.upf
Gd 157.25 Gd.upf
Ce 140.12 Ce.upf
La 138.91 La.upf
CELL_PARAMETERS angstrom
5.6219 0.0000 0.0000
2.8109 4.8687 0.0000
2.8109 1.6229 4.5902
ATOMIC_POSITIONS angstrom
Sc 0.0000 0.0000 0.0000
Gd 8.4328 4.8687 3.4427
Ce 5.6219 3.2458 2.2951
La 2.8109 1.6229 1.1476
```

***

Among the records above, which one has the highest ρ?
Er3Si2Ir2

***

Which of these has the lowest ρ?
Cs2InPb

***

ρ of number 2 (LaCeGdSc)?
6.36 g/cm³